Compound: Na6CoO4
Source: the Alexandria database
Functional: PBE with a Hubbard U
Structure: optimized geometry

Results
- calculated total energy (eV per atom) = -4.15
- space group = I-43m (217)
- total magnetization (μB per atom) = 0.274
- energy relative to the lowest polymorph listed for this composition (eV/atom) = 0.054

Cell and atoms, written as POSCAR:
```
Na6CoO4
1.0
-5.3877 5.3877 5.3877
5.3877 -5.3877 5.3877
5.3877 5.3877 -5.3877
Na Co O
24 4 16
Cartesian
3.4894 1.1443 -1.1443
3.4894 -1.1443 1.1443
6.4503 1.4711 -1.4711
6.4503 -1.4711 1.4711
7.2859 1.1443 1.1443
1.1443 3.4894 -1.1443
1.1443 -1.1443 3.4894
3.9166 3.9166 -1.0627
3.9166 -1.0627 3.9166
4.3250 1.4711 1.4711
-1.1443 3.4894 1.1443
-1.1443 1.1443 3.4894
1.4711 6.4503 -1.4711
1.4711 -1.4711 6.4503
1.4711 4.3250 1.4711
1.4711 1.4711 4.3250
4.2434 4.2434 1.8982
4.2434 1.8982 4.2434
-1.0627 3.9166 3.9166
-1.4711 6.4503 1.4711
-1.4711 1.4711 6.4503
1.1443 7.2859 1.1443
1.1443 1.1443 7.2859
1.8982 4.2434 4.2434
4.0363 4.0363 -4.0363
4.0363 -4.0363 4.0363
1.3514 1.3514 1.3514
-4.0363 4.0363 4.0363
0.0000 0.0000 0.0000
5.0300 2.7689 -2.7689
5.3877 0.0000 0.0000
5.0300 -2.7689 2.7689
2.7689 5.0300 -2.7689
2.7689 -2.7689 5.0300
2.6188 2.6188 0.3577
2.6188 0.3577 2.6188
0.3577 2.6188 2.6188
0.0000 5.3877 0.0000
0.0000 0.0000 5.3877
5.7453 2.7689 2.7689
-2.7689 5.0300 2.7689
-2.7689 2.7689 5.0300
2.7689 5.7453 2.7689
2.7689 2.7689 5.7453
```